Record 1
Density functional theory data (PBE) for an optimized crystal structure of YScZnN2.

The crystal system is tetragonal. The total energy is -25.1 eV for the cell shown.

a = 4.3685 Å, b = 4.3685 Å, c = 6.0399 Å
α = 90.00°, β = 90.00°, γ = 90.00°
Fractional coordinates of all 5 atoms:
Y 0.0000 0.0000 0.0000
Sc 0.0000 0.0000 0.5000
Zn 0.5000 0.5000 0.5000
N 0.0000 0.5000 0.0000
N 0.5000 0.0000 0.0000



Record 2
Density functional theory data (PBE) for an optimized crystal structure of YZr3Sc2N6.

The crystal system is monoclinic. The total energy is -116.0 eV for the cell shown.

a = 5.6643 Å, b = 5.6643 Å, c = 5.6870 Å
α = 99.61°, β = 99.61°, γ = 119.89°
Fractional coordinates of all 12 atoms:
Y 0.0000 0.0000 0.0000
Zr 0.1678 0.8322 0.5000
Zr 0.5000 0.5000 0.5000
Zr 0.8322 0.1678 0.5000
Sc 0.3334 0.6666 0.0000
Sc 0.6666 0.3334 0.0000
N 0.0850 0.4282 0.2550
N 0.2583 0.2583 0.7457
N 0.4282 0.0850 0.2550
N 0.5718 0.9150 0.7450
N 0.7417 0.7417 0.2543
N 0.9150 0.5718 0.7450



Record 3
Density functional theory data (PBE) for an optimized crystal structure of YZrSc2N.

The crystal system is tetragonal. The total energy is -38.8 eV for the cell shown.

a = 4.5218 Å, b = 4.5218 Å, c = 4.8823 Å
α = 90.00°, β = 90.00°, γ = 90.00°
Fractional coordinates of all 5 atoms:
Y 0.0000 0.0000 0.0000
Zr 0.5000 0.5000 0.0000
Sc 0.0000 0.5000 0.5000
Sc 0.5000 0.0000 0.5000
N 0.5000 0.5000 0.5000



Record 4
Density functional theory data (PBE) for an optimized crystal structure of Y2ZrScN4.

The crystal system is monoclinic. The total energy is -75.2 eV for the cell shown.

a = 5.7795 Å, b = 3.3413 Å, c = 5.8151 Å
α = 90.00°, β = 109.27°, γ = 90.00°
Fractional coordinates of all 8 atoms:
Y 0.0000 0.0000 0.0000
Y 0.5000 0.5000 0.0000
Zr 0.0000 0.5000 0.5000
Sc 0.5000 0.0000 0.5000
N 0.2428 0.0000 0.7321
N 0.2536 0.5000 0.2675
N 0.7464 0.5000 0.7325
N 0.7572 0.0000 0.2679



Record 5
Density functional theory data (PBE) for an optimized crystal structure of Y2Zr3ScN6.

The crystal system is monoclinic. The total energy is -115.7 eV for the cell shown.

a = 5.7332 Å, b = 5.7332 Å, c = 5.7707 Å
α = 99.57°, β = 99.57°, γ = 119.92°
Fractional coordinates of all 12 atoms:
Y 0.1668 0.8332 0.0000
Y 0.8332 0.1668 0.0000
Zr 0.0000 0.0000 0.5000
Zr 0.3352 0.6648 0.5000
Zr 0.6648 0.3352 0.5000
Sc 0.5000 0.5000 0.0000
N 0.0886 0.4127 0.7386
N 0.2629 0.2629 0.2616
N 0.4127 0.0886 0.7386
N 0.5873 0.9114 0.2614
N 0.7371 0.7371 0.7384
N 0.9114 0.5873 0.2614



Record 6
Density functional theory data (PBE) for an optimized crystal structure of ScZnN2.

The crystal system is trigonal. The total energy is -25.9 eV for the cell shown.

a = 6.1838 Å, b = 6.1838 Å, c = 6.1838 Å
α = 31.13°, β = 31.13°, γ = 31.13°
Fractional coordinates of all 4 atoms:
Sc 0.0000 0.0000 0.0000
Zn 0.5000 0.5000 0.5000
N 0.3969 0.3969 0.3969
N 0.6031 0.6031 0.6031